{"formula": "Ce2In5Pt3", "functional": "PBE", "state": "optimized geometry", "cell": [[-2.3321, -3.4758, -1.7628], [4.2148, -4.7650, 3.8194], [-7.4358, 2.3242, 11.1050]], "species": ["Ce", "Ce", "Ce", "Ce", "Pt", "Pt", "Pt", "Pt", "Pt", "Pt", "In", "In", "In", "In", "In", "In", "In", "In", "In", "In"], "fractional_positions": [[0.1742, 0.6988, 0.3485], [0.4763, 0.7850, 0.9526], [0.8258, 0.1988, 0.6515], [0.5237, 0.2850, 0.0474], [0.2294, 0.1928, 0.4587], [0.7706, 0.6928, 0.5413], [0.0450, 0.0027, 0.0899], [0.3912, 0.0194, 0.7824], [0.6088, 0.5194, 0.2176], [0.9550, 0.5027, 0.9101], [0.5983, 0.9069, 0.1966], [0.9475, 0.1194, 0.8951], [0.8750, 0.7520, 0.7500], [0.2932, 0.8973, 0.5864], [0.0525, 0.6194, 0.1049], [0.7076, 0.9905, 0.4152], [0.2924, 0.4905, 0.5848], [0.1250, 0.2520, 0.2500], [0.7068, 0.3973, 0.4136], [0.4017, 0.4069, 0.8034]], "delta_e_f_mev_per_atom": -710, "magmom_total_mub_per_cell": 2.38, "vol_a3_per_atom": 22.5, "final_energy_ev_per_atom": -5.08, "n_ef_per_ev_cell": 25.8, "sg": "Cmc2_1, No. 36"}